No. 1
Computed, not measured: La2YMo after structural relaxation at the PBE-GGA level of DFT.

a = 6.457 Å, b = 6.457 Å, c = 3.348 Å
α = 104.16°, β = 104.16°, γ = 118.28°
Sites, in units of the cell vectors:
La  0.000  0.500  0.000
La  0.500  0.000  0.000
Y  0.000  0.000  0.500
Mo  0.500  0.500  0.500

Space-group type: No. 12
Polymorph energy (0 for the lowest one) in meV/atom: 257
Formation energy in eV per atom: 0.553
Mass density in kg/m3: 7109

No. 2
Computed, not measured: TiMnCr after structural relaxation at the PBE-GGA level of DFT.

a = 5.742 Å, b = 4.814 Å, c = 4.639 Å
α = 74.78°, β = 53.99°, γ = 51.22°
Sites, in units of the cell vectors:
Ti  0.167  0.833  0.167
Ti  0.833  0.167  0.833
Mn  0.250  0.250  0.250
Mn  0.750  0.750  0.750
Cr  0.350  0.350  0.650
Cr  0.650  0.650  0.350

Space-group type: No. 69
Polymorph energy (0 for the lowest one) in meV/atom: 342
Formation energy in eV per atom: 0.142
Mass density in kg/m3: 6449

No. 3
Computed, not measured: Ni2RhCl after structural relaxation at the PBE-GGA level of DFT.

a = 2.849 Å, b = 2.849 Å, c = 6.829 Å
α = 90.00°, β = 90.00°, γ = 90.00°
Sites, in units of the cell vectors:
Ni  0.000  0.000  0.242
Ni  0.000  0.000  0.758
Rh  0.500  0.500  0.000
Cl  0.500  0.500  0.500

Space-group type: No. 123
Polymorph energy (0 for the lowest one) in meV/atom: 105
Mass density in kg/m3: 7661

No. 4
Computed, not measured: LiAcGd after structural relaxation at the PBE-GGA level of DFT.

a = 3.741 Å, b = 3.741 Å, c = 8.529 Å
α = 90.00°, β = 90.00°, γ = 120.00°
Sites, in units of the cell vectors:
Li  0.000  0.000  0.000
Ac  0.667  0.333  0.338
Gd  0.333  0.667  0.687

Space-group type: No. 156
Polymorph energy (0 for the lowest one) in meV/atom: 59
Formation energy in eV per atom: 0.135
Mass density in kg/m3: 6284

No. 5
Computed, not measured: HfRe2Ni after structural relaxation at the PBE-GGA level of DFT.

a = 4.432 Å, b = 4.432 Å, c = 4.432 Å
α = 60.00°, β = 60.00°, γ = 60.00°
Sites, in units of the cell vectors:
Hf  0.000  0.000  0.000
Re  0.250  0.250  0.250
Re  0.750  0.750  0.750
Ni  0.500  0.500  0.500

Space-group type: No. 225
Polymorph energy (0 for the lowest one) in meV/atom: 0
Formation energy in eV per atom: 0.281
Mass density in kg/m3: 16448

No. 6
Computed, not measured: Tb4Cd5Pt2 after structural relaxation at the PBE-GGA level of DFT.

a = 7.702 Å, b = 3.617 Å, c = 9.788 Å
α = 90.00°, β = 93.79°, γ = 90.00°
Sites, in units of the cell vectors:
Tb  0.166  0.000  0.355
Tb  0.225  0.000  0.948
Tb  0.775  0.000  0.052
Tb  0.834  0.000  0.645
Cd  0.189  0.500  0.650
Cd  0.454  0.500  0.183
Cd  0.500  0.500  0.500
Cd  0.546  0.500  0.817
Cd  0.811  0.500  0.350
Pt  0.070  0.500  0.141
Pt  0.930  0.500  0.859

Space-group type: No. 10
Formation energy in eV per atom: -0.629
Mass density in kg/m3: 9693